Below is FeHg2Sb after structural relaxation, with properties calculated at the PBE level.

```
4
Lattice="3.137 0.000 0.000 0.000 3.137 0.000 0.000 0.000 9.092" Properties=species:S:1:pos:R:3 pbc="T T T"
Fe 1.569 1.569 6.773
Hg 0.000 0.000 8.561
Hg 1.569 1.569 2.187
Sb 0.000 0.000 5.210
```

Computed properties:
VASP energy (eV per atom): -3.031
SG: P4mm (99)



Below is K2Ga3Sn4Hg after structural relaxation, with properties calculated at the PBE level.

```
10
Lattice="5.000 0.000 0.000 0.000 5.000 0.000 0.000 0.000 11.429" Properties=species:S:1:pos:R:3 pbc="T T T"
K 2.500 0.000 2.919
K 0.000 2.500 8.510
Ga 0.000 0.000 5.715
Ga 2.500 0.000 9.966
Ga 0.000 2.500 1.463
Sn 2.500 2.500 0.000
Sn 0.000 0.000 0.000
Sn 2.500 0.000 7.231
Sn 0.000 2.500 4.198
Hg 2.500 2.500 5.715
```

Computed properties:
VASP energy (eV per atom): -2.911
SG: P-4m2 (115)



Below is Tm5Bi4Ru after structural relaxation, with properties calculated at the PBE level.

```
10
Lattice="6.223 0.000 0.000 3.112 6.823 0.000 3.112 0.000 6.823" Properties=species:S:1:pos:R:3 pbc="T T T"
Tm 9.466 2.435 5.646
Tm 6.355 5.646 4.388
Tm 6.355 1.177 2.435
Tm 3.243 4.388 1.177
Tm 2.402 0.000 0.000
Bi 6.376 2.630 5.349
Bi 9.488 5.349 4.193
Bi 3.264 1.474 2.630
Bi 6.376 4.193 1.474
Ru 5.858 0.000 0.000
```

Computed properties:
VASP energy (eV per atom): -5.281
SG: I4 (79)



Below is TbNp2Si6 after structural relaxation, with properties calculated at the PBE level.

```
9
Lattice="3.846 0.000 0.000 0.000 6.091 -3.517 0.000 0.000 7.033" Properties=species:S:1:pos:R:3 pbc="T T T"
Tb 0.000 0.000 0.000
Np 0.000 2.030 3.517
Np 3.846 4.061 0.000
Si 1.923 2.036 1.176
Si 1.923 4.055 2.341
Si 1.923 0.000 4.682
Si 1.923 4.055 4.692
Si 1.923 2.036 -1.176
Si 1.923 0.000 2.351
```

Computed properties:
VASP energy (eV per atom): -7.375
SG: P6/mmm (191)



Below is SrMg2Ag after structural relaxation, with properties calculated at the PBE level.

```
4
Lattice="6.426 0.049 0.033 5.435 3.429 0.033 2.425 0.711 4.988" Properties=species:S:1:pos:R:3 pbc="T T T"
Ag 3.571 1.047 1.264
Mg 11.467 3.362 0.273
Mg 7.536 2.210 2.321
Sr 10.714 3.142 3.791
```

Computed properties:
VASP energy (eV per atom): -2.018
SG: C2/m (12)



Below is CaMoW2 after structural relaxation, with properties calculated at the PBE level.

```
4
Lattice="-3.201 -3.017 -0.660 0.808 -1.363 2.311 -3.589 2.901 4.144" Properties=species:S:1:pos:R:3 pbc="T T T"
Mo -3.885 -0.183 4.690
Ca -1.384 0.754 3.265
W 0.799 -1.349 2.294
W -2.093 -1.296 1.087
```

Computed properties:
VASP energy (eV per atom): -9.051
SG: Pm (6)



Below is KDy2Te6Pb3 after structural relaxation, with properties calculated at the PBE level.

```
12
Lattice="-4.335 1.083 0.142 -2.328 -9.054 -1.982 2.522 -0.431 9.909" Properties=species:S:1:pos:R:3 pbc="T T T"
K -2.167 0.542 0.071
Dy -3.458 -5.319 5.387
Dy -0.682 -3.082 2.683
Te -1.824 -7.907 4.651
Te -3.390 -4.644 2.327
Te -2.317 -0.495 3.418
Te -0.616 -2.425 -0.285
Te -3.525 -5.976 8.355
Te -0.751 -3.757 5.743
Pb -3.331 -3.985 -0.920
Pb -2.284 -0.782 6.616
Pb -1.857 -7.619 1.454
```

Computed properties:
VASP energy (eV per atom): -4.165
SG: C2/m (12)



Below is Ac3AsP2Pt9 after structural relaxation, with properties calculated at the PBE level.

```
15
Lattice="-0.628 4.322 4.840 4.170 -4.976 0.594 6.309 4.865 -3.525" Properties=species:S:1:pos:R:3 pbc="T T T"
Ac 6.672 1.286 -0.283
Ac 0.000 0.000 0.000
Ac 3.178 2.924 2.192
As 3.155 2.433 -1.763
P 3.655 -1.040 1.403
P 6.195 5.251 0.506
Pt 4.550 6.297 1.704
Pt 6.778 3.638 2.021
Pt 4.886 3.988 -0.882
Pt 4.965 0.223 2.791
Pt 3.073 0.572 -0.112
Pt 5.301 -2.086 0.205
Pt -0.314 2.161 2.420
Pt 2.085 -2.488 0.297
Pt 1.771 -0.327 2.717
```

Computed properties:
VASP energy (eV per atom): -6.251
SG: P-3m1 (164)



Below is Hf2MgNb2 after structural relaxation, with properties calculated at the PBE level.

```
10
Lattice="-4.915 0.997 5.552 -2.956 -6.727 -1.409 2.428 -1.576 2.432" Properties=species:S:1:pos:R:3 pbc="T T T"
Nb -4.402 -5.492 0.835
Nb -6.142 -3.358 3.953
Nb -3.469 -0.237 3.308
Nb -1.730 -2.371 0.190
Hf -1.575 -5.106 1.202
Hf -4.526 -5.730 3.743
Hf -3.868 -2.200 5.373
Hf -0.917 -1.576 2.833
Mg 0.000 0.000 0.000
Mg -3.936 -2.865 2.071
```

Computed properties:
VASP energy (eV per atom): -8.120
SG: P4/mbm (127)



Below is Ca2AlCu after structural relaxation, with properties calculated at the PBE level.

```
4
Lattice="4.971 0.000 0.000 2.485 4.305 0.000 2.485 1.435 4.059" Properties=species:S:1:pos:R:3 pbc="T T T"
Ca 0.000 0.000 0.000
Ca 2.485 1.435 1.015
Al 4.971 2.870 2.029
Cu 7.456 4.305 3.044
```

Computed properties:
VASP energy (eV per atom): -2.972
SG: F-43m (216)



Below is Ba2HfHgF after structural relaxation, with properties calculated at the PBE level.

```
5
Lattice="-2.388 -2.422 -5.843 2.199 -3.444 0.529 -5.195 -2.812 3.289" Properties=species:S:1:pos:R:3 pbc="T T T"
F 1.099 -1.722 0.265
Hf 0.000 0.000 0.000
Hg -2.692 -4.339 -1.012
Ba -2.597 -1.406 1.644
Ba -1.194 -1.211 -2.921
```

Computed properties:
VASP energy (eV per atom): -3.643
SG: P4/mmm (123)



Below is Cr2CoNiIr after structural relaxation, with properties calculated at the PBE level.

```
5
Lattice="4.113 0.000 0.000 0.000 4.165 0.000 0.000 0.000 4.113" Properties=species:S:1:pos:R:3 pbc="T T T"
Ni 0.000 0.000 0.000
Ir 2.056 2.083 2.056
Co 0.000 2.083 0.000
Cr 0.000 0.000 2.056
Cr 2.056 0.000 0.000
```

Computed properties:
VASP energy (eV per atom): -6.879
SG: P4/mmm (123)



Look up the VASP energy of the first one. -3.031 eV per atom



Repeat the ninth record exactly.
Below is Hf2MgNb2 after structural relaxation, with properties calculated at the PBE level.

```
10
Lattice="-4.915 0.997 5.552 -2.956 -6.727 -1.409 2.428 -1.576 2.432" Properties=species:S:1:pos:R:3 pbc="T T T"
Nb -4.402 -5.492 0.835
Nb -6.142 -3.358 3.953
Nb -3.469 -0.237 3.308
Nb -1.730 -2.371 0.190
Hf -1.575 -5.106 1.202
Hf -4.526 -5.730 3.743
Hf -3.868 -2.200 5.373
Hf -0.917 -1.576 2.833
Mg 0.000 0.000 0.000
Mg -3.936 -2.865 2.071
```

Computed properties:
VASP energy (eV per atom): -8.120
SG: P4/mbm (127)



What did the sixth record say?
Below is CaMoW2 after structural relaxation, with properties calculated at the PBE level.

```
4
Lattice="-3.201 -3.017 -0.660 0.808 -1.363 2.311 -3.589 2.901 4.144" Properties=species:S:1:pos:R:3 pbc="T T T"
Mo -3.885 -0.183 4.690
Ca -1.384 0.754 3.265
W 0.799 -1.349 2.294
W -2.093 -1.296 1.087
```

Computed properties:
VASP energy (eV per atom): -9.051
SG: Pm (6)